# Nd8AsP3Br4, relaxed, DFT PBE
# space-group type = R-3m, No. 166
# raw total energy = -0.20546 Ha/atom
# uncorrected formation energy = -1.4836 eV per atom
data_Nd8AsP3Br4
_cell_length_a 8.7515
_cell_length_b 8.7515
_cell_length_c 8.7515
_cell_angle_alpha 57.44
_cell_angle_beta 57.44
_cell_angle_gamma 57.44
_space_group_name_H-M_alt 'P 1'
_space_group_IT_number 1
loop_
_space_group_symop_operation_xyz
'x,y,z'
loop_
_atom_site_label
_atom_site_type_symbol
_atom_site_fract_x
_atom_site_fract_y
_atom_site_fract_z
Nd1 Nd 0.2239 0.7393 0.7393
Nd2 Nd 0.2336 0.2336 0.2336
Nd3 Nd 0.2607 0.2607 0.7761
Nd4 Nd 0.2607 0.7761 0.2607
Nd5 Nd 0.7393 0.2239 0.7393
Nd6 Nd 0.7393 0.7393 0.2239
Nd7 Nd 0.7664 0.7664 0.7664
Nd8 Nd 0.7761 0.2607 0.2607
As1 As 0.5000 0.5000 0.5000
P1 P 0.0000 0.0000 0.5000
P2 P 0.0000 0.5000 0.0000
P3 P 0.5000 0.0000 0.0000
Br1 Br 0.0000 0.0000 0.0000
Br2 Br 0.0000 0.5000 0.5000
Br3 Br 0.5000 0.0000 0.5000
Br4 Br 0.5000 0.5000 0.0000